1.
A plane-wave DFT calculation with PBE-GGA was carried out for a relaxed structure of Ac2SmThPt4.

## Properties
The value obtained for the density of states at the Fermi level is 0.42 states/eV per atom. Its uncorrected energy is -6.742 eV per atom. The total magnetization comes out at 0.00 μB/cell. The formation enthalpy at 0 K comes out at -1178 meV/atom. The value obtained for the theoretical density is 12.10 Mg/m³.

Lattice parameters (Å, degrees): 4.2752 7.4279 7.4054 109.34 90.00 90.00
Atoms (fractional coordinates):
Ac 0.5000 0.0000 0.5000
Ac 0.0000 0.5000 0.5000
Sm 0.0000 0.0000 0.0000
Th 0.5000 0.5000 0.0000
Pt 0.5000 0.2477 0.2315
Pt 0.5000 0.7523 0.7685
Pt 0.0000 0.2594 0.7697
Pt 0.0000 0.7406 0.2303

=====

2.
A plane-wave DFT calculation with PBE-GGA was carried out for a relaxed structure of Ac2SmZn3Pt4.

## Properties
The value obtained for the density of states at the Fermi level is 0.67 states/eV per atom. Its uncorrected energy is -4.921 eV per atom. The total magnetization comes out at 0.00 μB/cell. The formation enthalpy at 0 K comes out at -829 meV/atom. The value obtained for the theoretical density is 11.83 Mg/m³.

Lattice parameters (Å, degrees): 4.3505 4.3505 11.7247 90.00 90.00 90.00
Atoms (fractional coordinates):
Ac 0.5000 0.0000 0.2236
Ac 0.0000 0.5000 0.7764
Sm 0.5000 0.5000 0.5000
Zn 0.0000 0.0000 0.5000
Zn 0.5000 0.0000 0.8812
Zn 0.0000 0.5000 0.1188
Pt 0.5000 0.5000 0.0000
Pt 0.0000 0.0000 0.0000
Pt 0.5000 0.0000 0.6604
Pt 0.0000 0.5000 0.3396

=====

3.
A plane-wave DFT calculation with PBE-GGA was carried out for a relaxed structure of Ac2SnPt3.

## Properties
The value obtained for the density of states at the Fermi level is 0.50 states/eV per atom. Its uncorrected energy is -6.032 eV per atom. The total magnetization comes out at 0.00 μB/cell. The formation enthalpy at 0 K comes out at -975 meV/atom. The value obtained for the theoretical density is 12.22 Mg/m³.

Lattice parameters (Å, degrees): 6.2992 6.2992 9.0303 108.58 108.58 94.96
Atoms (fractional coordinates):
Ac 0.2500 0.7500 0.5000
Ac 0.7643 0.7643 0.0000
Ac 0.7500 0.2500 0.5000
Ac 0.2357 0.2357 0.0000
Sn 0.6645 0.6645 0.3290
Sn 0.3355 0.3355 0.6710
Pt 0.3328 0.8345 0.1672
Pt 0.1655 0.6672 0.8328
Pt 0.6672 0.1655 0.8328
Pt 0.8345 0.3328 0.1672
Pt 0.1673 0.1673 0.3346
Pt 0.8327 0.8327 0.6654

=====

Question: What is the formation enthalpy at 0 K in the second record?
Answer: -829 meV/atom

=====

Question: Which value of theoretical density does entry 1 give?
Answer: 12.10 Mg/m³

=====

Question: Look up the total magnetization of the second one.
Answer: 0.00 μB/cell